Entry 1:
Here is a geometry-optimized Fe4Ru3 structure from the Alexandria database. Energies are from PBE.

Lattice parameters (Å, degrees): 4.959 4.959 4.508 90.00 90.00 120.00
Fractional positions:
Fe 0.667 0.333 0.500
Ru 0.500 0.500 0.000
Fe 0.000 0.000 0.743
Fe 0.333 0.667 0.500
Ru 0.500 0.000 0.000
Ru 0.000 0.500 0.000
Fe 0.000 0.000 0.257

E_form ... 2.851 eV per formula unit
Spin magnetization ... 8.82 Bohr magnetons per cell

***

Entry 2:
Here is a geometry-optimized Zr2CoP structure from the Alexandria database. Energies are from PBE.

Lattice parameters (Å, degrees): 5.696 5.696 5.696 145.46 139.47 54.28
Fractional positions:
Zr 0.998 0.998 0.000
Zr 0.734 0.234 0.500
Co 0.465 0.465 0.000
P 0.303 0.803 0.500

E_form ... -2.679 eV per formula unit
Spin magnetization ... 0.00 Bohr magnetons per cell

***

Entry 3:
Here is a geometry-optimized Si2GeRh5 structure from the Alexandria database. Energies are from PBE.

Lattice parameters (Å, degrees): 3.916 5.430 10.510 90.00 90.00 90.00
Fractional positions:
Ge 0.000 0.000 0.500
Rh 0.000 0.833 0.714
Rh 0.500 0.668 0.888
Rh 0.000 0.667 0.214
Si 0.500 0.910 0.157
Si 0.500 0.410 0.343
Rh 0.500 0.832 0.388
Rh 0.000 0.500 0.500
Si 0.500 0.090 0.843
Rh 0.500 0.168 0.612
Si 0.500 0.590 0.657
Rh 0.500 0.332 0.112
Rh 0.000 0.167 0.286
Ge 0.000 0.500 0.000
Rh 0.000 0.000 0.000
Rh 0.000 0.333 0.786

ΔE_f (raw) ... -0.6403 eV per atom
Spin magnetization ... 0.00 Bohr magnetons per cell

***

Which formula does entry 3 have?
Si2GeRh5